DFT (PBE) results for crystalline TbDyLu at its relaxed geometry.

Values from the calculation:
The calculation puts the formation energy at 2.1 eV per formula unit. As for the spin magnetization: 0.04 Bohr magnetons per cell. As for the crystal system: cubic. As for the space-group type: F-43m (216).

Cell: 5.3528 5.3528 5.3528 Å, 60.00 60.00 60.00°
Closest atoms and distances in Å follow each position.
Fractional positions:
Tb: 0.0000 0.0000 0.0000  4 Lu 3.28
Dy: 0.5000 0.5000 0.5000  4 Lu 3.28
Lu: 0.7500 0.7500 0.7500  4 Dy 3.28, 4 Tb 3.28

DFT (PBE) results for crystalline DyLuTc at its relaxed geometry.

Values from the calculation:
The calculation puts the formation energy at 2.7 eV per formula unit. The relative energy among the computed polymorphs comes out at 0.000 eV per atom. As for the spin magnetization: 0.01 Bohr magnetons per cell. As for the crystal system: cubic. As for the space-group type: F-43m (216).

Cell: 4.7241 4.7241 4.7241 Å, 60.00 60.00 60.00°
Closest atoms and distances in Å follow each position.
Fractional positions:
Dy: 0.0000 0.0000 0.0000  4 Lu 2.89
Lu: 0.2500 0.2500 0.2500  4 Dy 2.89, 4 Tc 2.89
Tc: 0.5000 0.5000 0.5000  4 Lu 2.89

DFT (PBE) results for crystalline DyLuTh at its relaxed geometry.

Values from the calculation:
The calculation puts the formation energy at 2.3 eV per formula unit. The relative energy among the computed polymorphs comes out at 0.000 eV per atom. As for the spin magnetization: 0.00 Bohr magnetons per cell. As for the crystal system: cubic. As for the space-group type: F-43m (216).

Cell: 5.3819 5.3819 5.3819 Å, 60.00 60.00 60.00°
Closest atoms and distances in Å follow each position.
Fractional positions:
Dy: 0.0000 0.0000 0.0000  4 Lu 3.30
Lu: 0.2500 0.2500 0.2500  4 Dy 3.30, 4 Th 3.30
Th: 0.5000 0.5000 0.5000  4 Lu 3.30

DFT (PBE) results for crystalline DyTmLu6 at its relaxed geometry.

Values from the calculation:
The calculation puts the formation energy at 0.0 eV per formula unit. As for the spin magnetization: 0.14 Bohr magnetons per cell. As for the crystal system: hexagonal. As for the space-group type: P-6m2 (187).

Cell: 7.0364 7.0364 5.4882 Å, 90.00 90.00 120.00°
Closest atoms and distances in Å follow each position.
Fractional positions:
Dy: 0.0000 0.0000 0.0000  12 Lu 3.42-3.52
Tm: 0.3333 0.6667 0.5000  12 Lu 3.42-3.52
Lu: 0.3351 0.1675 0.5000  8 Lu 3.41-3.54, 2 Dy 3.42, 2 Tm 3.52
Lu: 0.5009 0.0017 0.0000  8 Lu 3.41-3.54, 2 Tm 3.42, 2 Dy 3.52
Lu: 0.5009 0.4991 0.0000  8 Lu 3.41-3.54, 2 Tm 3.42, 2 Dy 3.52
Lu: 0.8325 0.1675 0.5000  8 Lu 3.41-3.54, 2 Dy 3.42, 2 Tm 3.52
Lu: 0.8325 0.6649 0.5000  8 Lu 3.41-3.54, 2 Dy 3.42, 2 Tm 3.52
Lu: 0.9983 0.4991 0.0000  8 Lu 3.41-3.54, 2 Tm 3.42, 2 Dy 3.52

DFT (PBE) results for crystalline Dy2Tm3Lu3 at its relaxed geometry.

Values from the calculation:
The calculation puts the formation energy at 0.0 eV per formula unit. As for the spin magnetization: 0.05 Bohr magnetons per cell. As for the crystal system: hexagonal. As for the space-group type: P-6m2 (187).

Cell: 7.0860 7.0860 5.5213 Å, 90.00 90.00 120.00°
Closest atoms and distances in Å follow each position.
Fractional positions:
Dy: 0.0000 0.0000 0.0000  6 Tm 3.44, 6 Lu 3.54
Dy: 0.3333 0.6667 0.5000  6 Lu 3.44, 6 Tm 3.54
Tm: 0.3342 0.1671 0.5000  4 Lu 3.43, 4 Dy 3.44-3.54, 4 Tm 3.53-3.55
Tm: 0.8329 0.1671 0.5000  4 Lu 3.43, 4 Dy 3.44-3.54, 4 Tm 3.53-3.55
Tm: 0.8329 0.6658 0.5000  4 Lu 3.43, 4 Dy 3.44-3.54, 4 Tm 3.53-3.55
Lu: 0.5005 0.0010 0.0000  4 Tm 3.43, 4 Dy 3.44-3.54, 4 Lu 3.53-3.55
Lu: 0.5005 0.4995 0.0000  4 Tm 3.43, 4 Dy 3.44-3.54, 4 Lu 3.53-3.55
Lu: 0.9990 0.4995 0.0000  4 Tm 3.43, 4 Dy 3.44-3.54, 4 Lu 3.53-3.55

DFT (PBE) results for crystalline Dy2Tm3Lu3 at its relaxed geometry.

Values from the calculation:
The calculation puts the formation energy at 0.0 eV per formula unit. As for the spin magnetization: 0.01 Bohr magnetons per cell. As for the crystal system: orthorhombic. As for the space-group type: Amm2 (38).

Cell: 5.5215 7.0862 7.0862 Å, 60.00 90.00 90.00°
Closest atoms and distances in Å follow each position.
Fractional positions:
Dy: 0.0000 0.0000 0.0000  6 Tm 3.44-3.54, 6 Lu 3.44-3.54
Dy: 0.5000 0.3333 0.3333  6 Tm 3.44-3.54, 6 Lu 3.44-3.54
Tm: 0.0000 0.5005 0.5005  4 Tm 3.43, 4 Dy 3.44-3.54, 4 Lu 3.53-3.55
Tm: 0.5000 0.3342 0.8328  4 Tm 3.43-3.55, 4 Lu 3.43-3.55, 4 Dy 3.44-3.54
Tm: 0.5000 0.8328 0.3342  4 Tm 3.43-3.55, 4 Lu 3.43-3.55, 4 Dy 3.44-3.54
Lu: 0.0000 0.5004 0.9990  4 Tm 3.43-3.55, 4 Lu 3.43-3.55, 4 Dy 3.44-3.54
Lu: 0.0000 0.9990 0.5004  4 Tm 3.43-3.55, 4 Lu 3.43-3.55, 4 Dy 3.44-3.54
Lu: 0.5000 0.8329 0.8329  4 Lu 3.43, 4 Dy 3.44-3.54, 4 Tm 3.53-3.55

DFT (PBE) results for crystalline DyTmLu at its relaxed geometry.

Values from the calculation:
The calculation puts the formation energy at 2.2 eV per formula unit. The relative energy among the computed polymorphs comes out at 0.000 eV per atom. As for the spin magnetization: 0.03 Bohr magnetons per cell. As for the crystal system: cubic. As for the space-group type: F-43m (216).

Cell: 5.3313 5.3313 5.3313 Å, 60.00 60.00 60.00°
Closest atoms and distances in Å follow each position.
Fractional positions:
Dy: 0.0000 0.0000 0.0000  4 Lu 3.26
Tm: 0.5000 0.5000 0.5000  4 Lu 3.26
Lu: 0.2500 0.2500 0.2500  4 Dy 3.26, 4 Tm 3.26

DFT (PBE) results for crystalline DyLuU at its relaxed geometry.

Values from the calculation:
The calculation puts the formation energy at 3.8 eV per formula unit. The relative energy among the computed polymorphs comes out at 0.000 eV per atom. As for the spin magnetization: 3.64 Bohr magnetons per cell. As for the crystal system: cubic. As for the space-group type: F-43m (216).

Cell: 5.2006 5.2006 5.2006 Å, 60.00 60.00 60.00°
Closest atoms and distances in Å follow each position.
Fractional positions:
Dy: 0.0000 0.0000 0.0000  4 Lu 3.18
Lu: 0.2500 0.2500 0.2500  4 Dy 3.18, 4 U 3.18
U: 0.5000 0.5000 0.5000  4 Lu 3.18

> Among the records above, which one has the lowest spin magnetization?

DyLuTh

> The lowest spin magnetization belongs to which entry?

DyLuTh